The following is a DFT calculation (GGA-PBEsol) of a relaxed structure of LiVF4.

a = 10.853 Å, b = 15.272 Å, c = 3.840 Å
α = 90.00°, β = 90.00°, γ = 90.00°
Fractional positions:
Li1 0.000 0.000 0.000
Li2 0.000 0.500 0.000
Li3 0.250 0.110 0.459
Li4 0.250 0.390 0.459
Li5 0.500 0.000 0.000
Li6 0.500 0.500 0.000
Li7 0.750 0.610 0.541
Li8 0.750 0.890 0.541
V1 0.011 0.250 0.734
V2 0.250 0.579 0.285
V3 0.250 0.921 0.285
V4 0.489 0.250 0.734
V5 0.511 0.750 0.266
V6 0.750 0.079 0.715
V7 0.750 0.421 0.715
V8 0.989 0.750 0.266
F1 0.009 0.250 0.234
F2 0.118 0.662 0.269
F3 0.118 0.838 0.269
F4 0.126 0.159 0.736
F5 0.126 0.341 0.736
F6 0.129 0.015 0.292
F7 0.129 0.485 0.292
F8 0.250 0.575 0.784
F9 0.250 0.925 0.784
F10 0.371 0.015 0.292
F11 0.371 0.485 0.292
F12 0.374 0.159 0.736
F13 0.374 0.341 0.736
F14 0.382 0.662 0.269
F15 0.382 0.838 0.269
F16 0.491 0.250 0.234
F17 0.509 0.750 0.766
F18 0.618 0.162 0.731
F19 0.618 0.338 0.731
F20 0.626 0.659 0.264
F21 0.626 0.841 0.264
F22 0.629 0.515 0.708
F23 0.629 0.985 0.708
F24 0.750 0.075 0.216
F25 0.750 0.425 0.216
F26 0.871 0.515 0.708
F27 0.871 0.985 0.708
F28 0.874 0.659 0.264
F29 0.874 0.841 0.264
F30 0.882 0.162 0.731
F31 0.882 0.338 0.731
F32 0.991 0.750 0.766

Calculated values
The calculation puts the excess energy over the best structure of this formula in the dataset at 67.1 meV per atom. The calculation puts the formation energy (no corrections) at -2.83 eV per atom. The space-group type is Pmmn. The value obtained for the total magnetization is 2.00 μB per formula unit.


The following is a DFT calculation (GGA-PBEsol) of a relaxed structure of CuOs2Ru.

a = 3.704 Å, b = 3.704 Å, c = 7.744 Å
α = 90.00°, β = 90.00°, γ = 90.00°
Fractional positions:
Cu1 0.000 0.000 0.000
Cu2 0.500 0.500 0.500
Os1 0.000 0.000 0.500
Os2 0.000 0.500 0.250
Os3 0.500 0.000 0.750
Os4 0.500 0.500 0.000
Ru1 0.000 0.500 0.750
Ru2 0.500 0.000 0.250

Calculated values
The calculation puts the excess energy over the best structure of this formula in the dataset at 104.5 meV per atom. The space-group type is I-4m2. The value obtained for the total magnetization is 0.00 μB per formula unit.


The following is a DFT calculation (GGA-PBEsol) of a relaxed structure of LaTeIr2C.

a = 4.843 Å, b = 4.843 Å, c = 6.163 Å
α = 90.00°, β = 90.00°, γ = 90.00°
Fractional positions:
La1 0.000 0.000 0.000
Te1 0.000 0.000 0.500
Ir1 0.000 0.500 0.000
Ir2 0.500 0.000 0.000
C1 0.500 0.500 0.500

Calculated values
The calculation puts the formation energy (no corrections) at 2.94 eV per atom. The space-group type is P4/mmm. The value obtained for the total magnetization is 0.18 μB per formula unit.


The following is a DFT calculation (GGA-PBEsol) of a relaxed structure of LiZnRu2.

a = 5.892 Å, b = 5.892 Å, c = 5.892 Å
α = 90.00°, β = 90.00°, γ = 90.00°
Fractional positions:
Li1 0.000 0.000 0.000
Li2 0.000 0.500 0.500
Li3 0.500 0.000 0.500
Li4 0.500 0.500 0.000
Zn1 0.250 0.250 0.750
Zn2 0.250 0.750 0.250
Zn3 0.750 0.250 0.250
Zn4 0.750 0.750 0.750
Ru1 0.000 0.000 0.500
Ru2 0.000 0.500 0.000
Ru3 0.250 0.250 0.250
Ru4 0.250 0.750 0.750
Ru5 0.500 0.000 0.000
Ru6 0.500 0.500 0.500
Ru7 0.750 0.250 0.750
Ru8 0.750 0.750 0.250

Calculated values
The space-group type is F-43m. The value obtained for the total magnetization is 0.00 μB per formula unit. The value obtained for the total energy is -5.921 eV per atom.


The following is a DFT calculation (GGA-PBEsol) of a relaxed structure of K4MoAu.

a = 6.834 Å, b = 6.834 Å, c = 6.834 Å
α = 60.00°, β = 60.00°, γ = 60.00°
Fractional positions:
K1 0.124 0.124 0.124
K2 0.124 0.124 0.627
K3 0.124 0.627 0.124
K4 0.627 0.124 0.124
Mo1 0.500 0.500 0.500
Au1 0.750 0.750 0.750

Calculated values
The space-group type is F-43m. The value obtained for the total magnetization is 5.29 μB per formula unit. The value obtained for the total energy is -2.193 eV per atom.


The following is a DFT calculation (GGA-PBEsol) of a relaxed structure of PtPb2.

a = 6.717 Å, b = 6.717 Å, c = 6.717 Å
α = 90.00°, β = 90.00°, γ = 90.00°
Fractional positions:
Pt1 0.000 0.000 0.000
Pt2 0.000 0.500 0.500
Pt3 0.500 0.000 0.500
Pt4 0.500 0.500 0.000
Pb1 0.137 0.637 0.863
Pb2 0.137 0.863 0.363
Pb3 0.363 0.137 0.863
Pb4 0.363 0.363 0.363
Pb5 0.637 0.637 0.637
Pb6 0.637 0.863 0.137
Pb7 0.863 0.137 0.637
Pb8 0.863 0.363 0.137

Calculated values
The space-group type is Pa-3. The value obtained for the total magnetization is 0.00 μB per formula unit. The value obtained for the total energy is -5.075 eV per atom.


The following is a DFT calculation (GGA-PBEsol) of a relaxed structure of LiPb.

a = 3.506 Å, b = 3.506 Å, c = 3.506 Å
α = 90.00°, β = 90.00°, γ = 90.00°
Fractional positions:
Li1 0.000 0.000 0.000
Pb1 0.500 0.500 0.500

Calculated values
The space-group type is Pm-3m. The value obtained for the total magnetization is 0.00 μB per formula unit. The value obtained for the total energy is -3.275 eV per atom.


The following is a DFT calculation (GGA-PBEsol) of a relaxed structure of Ce2PPt8.

a = 4.226 Å, b = 8.990 Å, c = 8.990 Å
α = 145.24°, β = 90.00°, γ = 90.00°
Fractional positions:
Ce1 0.000 0.124 0.876
Ce2 0.000 0.876 0.124
P1 0.500 0.736 0.736
Pt1 0.000 0.295 0.698
Pt2 0.000 0.507 0.507
Pt3 0.000 0.698 0.295
Pt4 0.500 0.145 0.145
Pt5 0.500 0.396 0.616
Pt6 0.500 0.482 0.991
Pt7 0.500 0.616 0.396
Pt8 0.500 0.991 0.482

Calculated values
The space-group type is Amm2. The value obtained for the total magnetization is 0.84 μB per formula unit. The value obtained for the total energy is -7.639 eV per atom.


The following is a DFT calculation (GGA-PBEsol) of a relaxed structure of SrYAs.

a = 4.137 Å, b = 4.137 Å, c = 6.879 Å
α = 90.00°, β = 90.00°, γ = 120.00°
Fractional positions:
Sr1 0.000 0.000 0.000
Y1 0.333 0.667 0.495
As1 0.667 0.333 0.287

Calculated values
The space-group type is P3m1. The value obtained for the total magnetization is 0.03 μB per formula unit. The value obtained for the total energy is -5.414 eV per atom.


The following is a DFT calculation (GGA-PBEsol) of a relaxed structure of LaBi3Os.

a = 5.315 Å, b = 5.315 Å, c = 5.315 Å
α = 90.00°, β = 90.00°, γ = 90.00°
Fractional positions:
La1 0.000 0.000 0.000
Bi1 0.000 0.500 0.500
Bi2 0.500 0.000 0.500
Bi3 0.500 0.500 0.000
Os1 0.500 0.500 0.500

Calculated values
The space-group type is Pm-3m. The value obtained for the total magnetization is 0.00 μB per formula unit. The value obtained for the total energy is -5.708 eV per atom.


The following is a DFT calculation (GGA-PBEsol) of a relaxed structure of BaSiW2.

a = 9.003 Å, b = 3.241 Å, c = 6.046 Å
α = 90.00°, β = 98.18°, γ = 90.00°
Fractional positions:
Ba1 0.000 0.000 0.000
Ba2 0.500 0.500 0.000
Si1 0.000 0.500 0.500
Si2 0.500 0.000 0.500
W1 0.226 0.000 0.642
W2 0.274 0.500 0.358
W3 0.726 0.500 0.642
W4 0.774 0.000 0.358

Calculated values
The calculation puts the excess energy over the best structure of this formula in the dataset at 0.0 meV per atom. The calculation puts the formation energy (no corrections) at 0.70 eV per atom. The space-group type is C2/m. The value obtained for the total magnetization is 0.00 μB per formula unit.


The following is a DFT calculation (GGA-PBEsol) of a relaxed structure of Ca2ZnCr.

a = 3.661 Å, b = 3.661 Å, c = 7.343 Å
α = 90.00°, β = 90.00°, γ = 90.00°
Fractional positions:
Ca1 0.000 0.000 0.239
Ca2 0.000 0.000 0.761
Zn1 0.500 0.500 0.000
Cr1 0.500 0.500 0.500

Calculated values
The space-group type is P4/mmm. The value obtained for the total magnetization is 4.80 μB per formula unit. The value obtained for the total energy is -3.678 eV per atom.